# CdTcAg | Alexandria via LeMat-Bulk | meta-GGA SCAN | single point on PBEsol structure
data_CdTcAg
_chemical_formula_sum 'Cd4 Tc4 Ag4'
_space_group_name_H-M_alt 'F -4 3 m'
_space_group_IT_number 216
_space_group_name_Hall 'F -4 2 3'
_cell_length_a 6.240
_cell_length_b 6.240
_cell_length_c 6.240
_cell_angle_alpha 90.00
_cell_angle_beta 90.00
_cell_angle_gamma 90.00
loop_
_atom_site_label
_atom_site_type_symbol
_atom_site_fract_x
_atom_site_fract_y
_atom_site_fract_z
Cd1 Cd 0.000 0.000 0.000
Tc1 Tc 0.250 0.250 0.250
Ag1 Ag 0.000 0.000 0.500
# DFT formation energy = 1.00 eV/atom
# Calculated total energy = -31.28 eV/atom
# DOS at the Fermi energy = 8.7 states/eV per cell

---

# ZnCd2TcAg | Alexandria via LeMat-Bulk | meta-GGA SCAN | single point on PBEsol structure
data_ZnCd2TcAg
_chemical_formula_sum 'Zn1 Cd2 Tc1 Ag1'
_space_group_name_H-M_alt 'P 4/m m m'
_space_group_IT_number 123
_space_group_name_Hall '-P 4 2'
_cell_length_a 5.178
_cell_length_b 5.178
_cell_length_c 5.033
_cell_angle_alpha 90.00
_cell_angle_beta 90.00
_cell_angle_gamma 90.00
loop_
_atom_site_label
_atom_site_type_symbol
_atom_site_fract_x
_atom_site_fract_y
_atom_site_fract_z
Zn1 Zn 0.000 0.000 0.000
Cd1 Cd 0.000 0.500 0.500
Tc1 Tc 0.500 0.500 0.500
Ag1 Ag 0.500 0.500 0.000
# DFT formation energy = 1.18 eV/atom
# Calculated total energy = -26.97 eV/atom
# DOS at the Fermi energy = 2.5 states/eV per cell

---

# CdAgTe2 | Alexandria via LeMat-Bulk | meta-GGA SCAN | single point on PBEsol structure
data_CdAgTe2
_chemical_formula_sum 'Cd1 Ag1 Te2'
_space_group_name_H-M_alt 'P m m 2'
_space_group_IT_number 25
_space_group_name_Hall 'P 2 -2'
_cell_length_a 3.442
_cell_length_b 4.592
_cell_length_c 6.734
_cell_angle_alpha 90.00
_cell_angle_beta 90.00
_cell_angle_gamma 90.00
loop_
_atom_site_label
_atom_site_type_symbol
_atom_site_fract_x
_atom_site_fract_y
_atom_site_fract_z
Cd1 Cd 0.000 0.000 0.000
Ag1 Ag 0.500 0.500 0.123
Te1 Te 0.000 0.500 0.752
Te2 Te 0.500 0.000 0.361
# Calculated total energy = -34.17 eV/atom
# DOS at the Fermi energy = 0.4 states/eV per cell

---

# CdAg2Te2 | Alexandria via LeMat-Bulk | meta-GGA SCAN | single point on PBEsol structure
data_CdAg2Te2
_chemical_formula_sum 'Cd2 Ag4 Te4'
_space_group_name_H-M_alt 'I 4/m m m'
_space_group_IT_number 139
_space_group_name_Hall '-I 4 2'
_cell_length_a 4.338
_cell_length_b 4.338
_cell_length_c 13.491
_cell_angle_alpha 90.00
_cell_angle_beta 90.00
_cell_angle_gamma 90.00
loop_
_atom_site_label
_atom_site_type_symbol
_atom_site_fract_x
_atom_site_fract_y
_atom_site_fract_z
Cd1 Cd 0.000 0.000 0.000
Ag1 Ag 0.000 0.000 0.404
Te1 Te 0.000 0.500 0.250
# Calculated total energy = -33.26 eV/atom
# DOS at the Fermi energy = 4.6 states/eV per cell